Entry from Alexandria via LeMat-Bulk: a relaxed structure of LaIn3Ga (PBE-GGA).

Results
Space group: Pm-3m (221)
ΔE_f: 1 meV/atom
Total moment: 0.00 μB/atom
Energy above the most stable polymorph in this dataset: 0 meV per atom

Cell: 5.2842 5.2842 5.2842 Å, 90.00 90.00 90.00°
Fractional coordinates of all 5 atoms:
1 Ga 0.0000 0.0000 0.0000
2 In 0.0000 0.0000 0.5000
3 In 0.5000 0.0000 0.0000
4 In 0.0000 0.5000 0.0000
5 La 0.5000 0.5000 0.5000

---

Entry from Alexandria via LeMat-Bulk: a relaxed structure of La2ErTe (PBE-GGA).

Results
Space group: P1 (1)
E_form (uncorrected): -48.8 kJ/mol of atoms
Total moment: 0.00 μB/atom
Energy above the most stable polymorph in this dataset: 98 meV per atom

Cell: 3.9677 7.4917 9.8564 Å, 74.18 90.02 89.91°
Fractional coordinates of all 8 atoms:
1 Er 0.2871 0.9526 0.2281
2 La 0.6228 0.3088 0.9554
3 La 0.6241 0.1002 0.5002
4 La 0.9442 0.5997 0.5013
5 Te 0.1054 0.2043 0.7280
6 La 0.9441 0.8091 0.9544
7 Te 0.4618 0.7046 0.7278
8 Er 0.2675 0.4506 0.2276

---

Entry from Alexandria via LeMat-Bulk: a relaxed structure of Na6HfH8S5O24 (PBE-GGA).

Results
Space group: P2_1 (4)
Total DFT energy (no corrections): -5.831 eV per atom
Total moment: 0.00 μB/atom

Cell: 8.6198 10.6959 11.3672 Å, 90.00 90.00 98.69°
Fractional coordinates of all 88 atoms:
1 O 0.7896 0.0879 0.5270
2 Hf 0.7786 0.7242 0.5038
3 Na 0.4655 0.0164 0.1898
4 O 0.7423 0.6416 0.8296
5 S 0.7441 0.9834 0.4454
6 Na 0.9675 0.7844 0.0623
7 O 0.5850 0.8824 0.0737
8 Na 0.0325 0.2156 0.5623
9 O 0.2780 0.3247 0.6547
10 O 0.8216 0.3526 0.6736
11 H 0.0088 0.0457 0.1646
12 O 0.3787 0.1146 0.0019
13 Na 0.6921 0.2712 0.3228
14 Na 0.9397 0.5040 0.8212
15 Na 0.5345 0.9836 0.6898
16 O 0.4150 0.1176 0.5737
17 S 0.8447 0.3227 0.0742
18 Na 0.3079 0.7288 0.8228
19 H 0.5438 0.2940 0.0792
20 H 0.1542 0.0076 0.7162
21 H 0.7221 0.2191 0.7597
22 O 0.8928 0.3702 0.4663
23 O 0.3821 0.6532 0.0203
24 Na 0.7929 0.0460 0.9678
25 S 0.2197 0.6007 0.0570
26 O 0.3912 0.3059 0.8537
27 O 0.7220 0.6753 0.1547
28 H 0.4682 0.3936 0.1567
29 O 0.2117 0.4579 0.0673
30 O 0.6088 0.6941 0.3537
31 O 0.0325 0.7427 0.5137
32 S 0.1553 0.6773 0.5742
33 O 0.7883 0.5421 0.5673
34 Na 0.5950 0.5422 0.9808
35 O 0.9159 0.9825 0.1497
36 O 0.6213 0.8854 0.5019
37 H 0.4198 0.8109 0.3444
38 O 0.9675 0.2573 0.0137
39 H 0.2779 0.7809 0.2597
40 O 0.8516 0.6265 0.3382
41 O 0.6179 0.3468 0.5203
42 O 0.8993 0.3686 0.1909
43 O 0.6146 0.4866 0.2656
44 O 0.5408 0.6499 0.5799
45 Na 0.4050 0.4578 0.4808
46 O 0.3854 0.5134 0.7656
47 O 0.1817 0.2023 0.1751
48 S 0.3023 0.3834 0.7719
49 O 0.2577 0.3584 0.3296
50 H 0.5318 0.6064 0.6567
51 O 0.4592 0.3501 0.0799
52 S 0.7482 0.7766 0.8001
53 O 0.6937 0.0278 0.3307
54 O 0.1459 0.1413 0.3791
55 Na 0.2071 0.9540 0.4678
56 O 0.1784 0.6474 0.1736
57 O 0.4114 0.1880 0.2976
58 H 0.6434 0.8247 0.1167
59 O 0.3063 0.9722 0.8307
60 O 0.1941 0.5757 0.4968
61 S 0.6977 0.6166 0.2719
62 Na 0.0603 0.4960 0.3212
63 O 0.3345 0.8491 0.3092
64 H 0.9912 0.9543 0.6646
65 O 0.2104 0.9121 0.0270
66 S 0.2518 0.2234 0.3001
67 O 0.8766 0.9047 0.4262
68 O 0.0841 0.0175 0.6497
69 O 0.5886 0.8120 0.7976
70 H 0.5009 0.1779 0.5399
71 O 0.2978 0.7766 0.5891
72 S 0.2559 0.0166 0.9454
73 S 0.7803 0.3993 0.5570
74 Hf 0.2214 0.2758 0.0038
75 O 0.8059 0.4243 0.9968
76 O 0.6655 0.1509 0.8092
77 O 0.8541 0.8587 0.8791
78 O 0.1484 0.3735 0.8382
79 H 0.4562 0.7060 0.5792
80 O 0.8183 0.7977 0.6751
81 H 0.8458 0.9924 0.2162
82 H 0.5802 0.1891 0.8444
83 O 0.1007 0.6314 0.6909
84 O 0.7022 0.2234 0.0891
85 H 0.4991 0.8221 0.0399
86 H 0.3566 0.1753 0.6167
87 O 0.1072 0.6298 0.9663
88 O 0.1234 0.0953 0.9262

---

Entry from Alexandria via LeMat-Bulk: a relaxed structure of Ce3Y2HoSb6 (PBE-GGA).

Results
Space group: C2/m (12)
E_form (uncorrected): -105.9 kJ/mol of atoms
Total moment: 0.20 μB/atom

Cell: 7.6983 7.6983 7.6872 Å, 99.61 99.61 119.99°
Site moments in Bohr magnetons follow the coordinates.
Fractional coordinates of all 12 atoms:
1 Sb 0.5866 0.9190 0.7566  -0.02
2 Y 0.6664 0.3336 0.0000  0.00
3 Ho 0.0000 0.0000 0.0000  0.00
4 Sb 0.9190 0.5866 0.7566  -0.02
5 Ce 0.1671 0.8329 0.5000  0.75
6 Sb 0.0810 0.4134 0.2434  -0.02
7 Sb 0.4134 0.0810 0.2434  -0.02
8 Ce 0.5000 0.5000 0.5000  0.75
9 Ce 0.8329 0.1671 0.5000  0.75
10 Sb 0.7492 0.7492 0.2440  -0.02
11 Sb 0.2508 0.2508 0.7560  -0.02
12 Y 0.3336 0.6664 0.0000  0.00

---

Entry from Alexandria via LeMat-Bulk: a relaxed structure of SrZn2Pt (PBE-GGA).

Results
Space group: Pmmm (47)
ΔE_f: -416 meV/atom
Total moment: 0.00 μB/atom

Cell: 4.6407 4.2211 4.8791 Å, 89.96 90.00 90.00°
Fractional coordinates of all 4 atoms:
1 Zn 0.0000 0.2505 0.4970
2 Pt 0.5000 0.2500 0.2500
3 Zn 0.0000 0.2495 0.0030
4 Sr 0.5000 0.7500 0.7500

---

Entry from Alexandria via LeMat-Bulk: a relaxed structure of Ac6PmCd5 (PBE-GGA).

Results
Space group: Immm (71)
ΔE_f: -208 meV/atom
Total moment: 0.00 μB/atom

Cell: 5.7769 8.2363 10.0785 Å, 114.12 106.65 90.00°
Fractional coordinates of all 12 atoms:
1 Pm 0.0000 0.0000 0.0000
2 Ac 0.1710 0.9146 0.3421
3 Ac 0.5000 0.7353 0.0000
4 Cd 0.6670 0.6670 0.3340
5 Cd 0.0000 0.5000 0.0000
6 Ac 0.8290 0.5725 0.6579
7 Ac 0.5000 0.2647 0.0000
8 Ac 0.1710 0.4275 0.3421
9 Ac 0.8290 0.0854 0.6579
10 Cd 0.6559 0.1559 0.3119
11 Cd 0.3441 0.8441 0.6881
12 Cd 0.3330 0.3330 0.6660

---

Entry from Alexandria via LeMat-Bulk: a relaxed structure of FeCo2Os (PBE-GGA).

Results
Space group: I-42d (122)
ΔE_f: 623 meV/atom
Total moment: 0.12 μB/atom
Energy above the most stable polymorph in this dataset: 530 meV per atom

Cell: 3.4847 3.4847 8.6819 Å, 78.42 78.42 90.00°
Site moments in Bohr magnetons follow the coordinates.
Fractional coordinates of all 8 atoms:
1 Fe 0.2500 0.7500 0.5000  1.80
2 Os 0.7500 0.2500 0.5000  0.04
3 Os 0.0000 0.0000 0.0000  0.04
4 Co 0.1416 0.6250 0.2500  -0.70
5 Co 0.3750 0.3916 0.7500  -0.70
6 Co 0.8750 0.8584 0.7500  -0.70
7 Co 0.6084 0.1250 0.2500  -0.70
8 Fe 0.5000 0.5000 0.0000  1.80

---

Entry from Alexandria via LeMat-Bulk: a relaxed structure of SrLa2Np3N8 (PBE-GGA).

Results
Space group: R3m (160)
E_form (uncorrected): -111.9 kJ/mol of atoms
Total moment: 0.36 μB/atom

Cell: 6.9773 6.9777 7.1244 Å, 60.68 60.68 60.00°
Site moments in Bohr magnetons follow the coordinates.
Fractional coordinates of all 14 atoms:
1 N 0.3204 0.7440 0.1915  -0.10
2 N 0.2520 0.2521 0.8035  -0.09
3 N 0.6925 0.2520 0.8035  -0.09
4 N 0.7263 0.7264 0.8209  -0.12
5 Np 0.5001 0.5001 0.0022  1.93
6 N 0.7441 0.7440 0.1915  -0.10
7 Sr 0.8796 0.8796 0.3611  0.00
8 La 0.1142 0.1143 0.6572  0.00
9 Np 0.5001 0.9975 0.0022  1.93
10 N 0.7440 0.3204 0.1915  -0.10
11 N 0.2694 0.2694 0.1918  -0.12
12 N 0.2520 0.6925 0.8035  -0.09
13 Np 0.9975 0.5001 0.0022  1.93
14 La 0.5002 0.5002 0.4995  0.01

---

Entry from Alexandria via LeMat-Bulk: a relaxed structure of NdDy4Ho (PBE-GGA).

Results
Space group: P-1 (2)
ΔE_f: 19 meV/atom
Total moment: 0.00 μB/atom
Energy above the most stable polymorph in this dataset: 0 meV per atom

Cell: 5.0267 7.9683 11.2747 Å, 148.10 89.92 108.44°
Fractional coordinates of all 6 atoms:
1 Dy 0.1673 0.3343 0.4992
2 Dy 0.6660 0.3317 0.9998
3 Dy 0.8327 0.6657 0.5008
4 Nd 0.5000 0.0000 0.5000
5 Dy 0.3340 0.6682 0.0002
6 Ho 0.0000 0.0000 0.0000

---

Entry from Alexandria via LeMat-Bulk: a relaxed structure of TaHgF3 (PBE-GGA).

Results
Space group: Pm-3m (221)
E_form (uncorrected): -9.2 kJ/mol of atoms
Total moment: 0.72 μB/atom
Energy above the most stable polymorph in this dataset: 1647 meV per atom

Cell: 4.5539 4.5539 4.5539 Å, 90.00 90.00 90.00°
Site moments in Bohr magnetons follow the coordinates.
Fractional coordinates of all 5 atoms:
1 F 0.0000 0.5000 0.0000  0.04
2 Hg 0.0000 0.0000 0.0000  -0.01
3 F 0.0000 0.0000 0.5000  0.03
4 F 0.5000 0.0000 0.0000  0.04
5 Ta 0.5000 0.5000 0.5000  2.35

---

Entry from Alexandria via LeMat-Bulk: a relaxed structure of Mg3Au4 (PBE-GGA).

Results
Space group: P6/mmm (191)
ΔE_f: -170 meV/atom
Total moment: 0.00 μB/atom
Energy above the most stable polymorph in this dataset: 380 meV per atom

Cell: 5.5452 5.5452 5.0817 Å, 90.00 90.00 120.00°
Fractional coordinates of all 7 atoms:
1 Au 0.6667 0.3333 0.5000
2 Mg 0.0000 0.5000 0.0000
3 Au 0.0000 0.0000 0.7493
4 Au 0.0000 0.0000 0.2507
5 Au 0.3333 0.6667 0.5000
6 Mg 0.5000 0.5000 0.0000
7 Mg 0.5000 0.0000 0.0000

---

Entry from Alexandria via LeMat-Bulk: a relaxed structure of Er4AgPdAu2 (PBE-GGA).

Results
Space group: R-3m (166)
ΔE_f: -759 meV/atom
Total moment: 0.00 μB/atom

Cell: 5.0231 5.0231 8.7047 Å, 73.23 73.23 60.00°
Fractional coordinates of all 8 atoms:
1 Er 0.1279 0.1279 0.6163
2 Pd 0.5000 0.5000 0.5000
3 Ag 0.0000 0.0000 0.0000
4 Er 0.3782 0.3782 0.8653
5 Er 0.8721 0.8721 0.3837
6 Au 0.2540 0.2540 0.2380
7 Au 0.7460 0.7460 0.7620
8 Er 0.6218 0.6218 0.1347

---

Entry from Alexandria via LeMat-Bulk: a relaxed structure of Hf5PaIn4 (PBE-GGA).

Results
Space group: P4/mmm (123)
ΔE_f: -97 meV/atom
Total moment: 0.00 μB/atom

Cell: 3.0977 3.0977 23.1222 Å, 90.00 90.00 90.00°
Fractional coordinates of all 10 atoms:
1 Hf 0.5000 0.5000 0.6943
2 In 0.0000 0.0000 0.7916
3 Hf 0.5000 0.5000 0.1081
4 Hf 0.5000 0.5000 0.8919
5 In 0.0000 0.0000 0.2084
6 In 0.0000 0.0000 0.4030
7 In 0.0000 0.0000 0.5970
8 Hf 0.5000 0.5000 0.5000
9 Pa 0.0000 0.0000 0.0000
10 Hf 0.5000 0.5000 0.3057

---

Entry from Alexandria via LeMat-Bulk: a relaxed structure of InSeN2F (PBE-GGA).

Results
Space group: P4/mmm (123)
E_form (uncorrected): 93.1 kJ/mol of atoms
Total moment: 0.07 μB/atom
Energy above the most stable polymorph in this dataset: 216 meV per atom

Cell: 4.3265 4.3265 4.0982 Å, 90.00 90.00 90.00°
Site moments in Bohr magnetons follow the coordinates.
Fractional coordinates of all 5 atoms:
1 N 0.0000 0.5000 0.0000  0.24
2 N 0.5000 0.0000 0.0000  0.24
3 In 0.0000 0.0000 0.0000  -0.01
4 Se 0.5000 0.5000 0.5000  -0.21
5 F 0.0000 0.0000 0.5000  -0.01

---

Entry from Alexandria via LeMat-Bulk: a relaxed structure of BaOs2Se (PBE-GGA).

Results
Space group: C2/m (12)
E_form (uncorrected): 38.6 kJ/mol of atoms
Total moment: 0.00 μB/atom

Cell: 5.6303 5.6303 6.0176 Å, 67.14 67.14 38.53°
Fractional coordinates of all 4 atoms:
1 Ba 0.2500 0.2500 0.2500
2 Se 0.7500 0.7500 0.7500
3 Os 0.4531 0.4531 0.6934
4 Os 0.0469 0.0469 0.8066

---

Entry from Alexandria via LeMat-Bulk: a relaxed structure of ZrCd3Ge (PBE-GGA).

Results
Space group: Pm-3m (221)
ΔE_f: 690 meV/atom
Total moment: 0.00 μB/atom
Energy above the most stable polymorph in this dataset: 0 meV per atom

Cell: 5.0519 5.0519 5.0519 Å, 90.00 90.00 90.00°
Fractional coordinates of all 5 atoms:
1 Cd 0.0000 0.0000 0.5000
2 Zr 0.5000 0.5000 0.5000
3 Cd 0.5000 0.0000 0.0000
4 Ge 0.0000 0.0000 0.0000
5 Cd 0.0000 0.5000 0.0000

---

Entry from Alexandria via LeMat-Bulk: a relaxed structure of Zn2NiAs (PBE-GGA).

Results
Space group: Cm (8)
ΔE_f: -9 meV/atom
Total moment: 0.00 μB/atom

Cell: 4.3962 4.3962 4.9753 Å, 80.37 80.37 39.43°
Fractional coordinates of all 4 atoms:
1 As 0.5242 0.5242 0.4611
2 Ni 0.2464 0.2464 0.2313
3 Zn 0.9875 0.9875 0.0185
4 Zn 0.7419 0.7419 0.7891

---

Entry from Alexandria via LeMat-Bulk: a relaxed structure of Nd7Br12N (PBE-GGA).

Results
Space group: R-3 (148)
E_form (uncorrected): -163.4 kJ/mol of atoms
Total moment: 0.00 μB/atom

Cell: 9.2291 9.2291 9.2291 Å, 107.66 107.66 107.66°
Fractional coordinates of all 20 atoms:
1 Nd 0.6985 0.8980 0.9691
2 Br 0.7727 0.9216 0.3131
3 Br 0.3866 0.4698 0.1515
4 Br 0.4698 0.1515 0.3866
5 Br 0.3131 0.7727 0.9216
6 Br 0.6134 0.5302 0.8485
7 Nd 0.9691 0.6985 0.8980
8 Nd 0.3015 0.1020 0.0309
9 Br 0.6869 0.2273 0.0784
10 Nd 0.1020 0.0309 0.3015
11 Nd 0.5000 0.5000 0.5000
12 Nd 0.0309 0.3015 0.1020
13 Br 0.0784 0.6869 0.2273
14 Br 0.9216 0.3131 0.7727
15 Nd 0.8980 0.9691 0.6985
16 Br 0.1515 0.3866 0.4698
17 Br 0.2273 0.0784 0.6869
18 Br 0.5302 0.8485 0.6134
19 N 0.0000 0.0000 0.0000
20 Br 0.8485 0.6134 0.5302

---

Entry from Alexandria via LeMat-Bulk: a relaxed structure of CePmPuGa (PBE-GGA).

Results
Space group: F-43m (216)
ΔE_f: -65 meV/atom
Total moment: 1.95 μB/atom

Cell: 5.1928 5.1928 5.1928 Å, 60.00 60.00 60.00°
Site moments in Bohr magnetons follow the coordinates.
Fractional coordinates of all 4 atoms:
1 Pm 0.0000 0.0000 0.0000  0.22
2 Ce 0.7500 0.7500 0.7500  1.08
3 Pu 0.5000 0.5000 0.5000  5.58
4 Ga 0.2500 0.2500 0.2500  -0.03

---

Entry from Alexandria via LeMat-Bulk: a relaxed structure of SrIr2Pb (PBE-GGA).

Results
Space group: C2/m (12)
ΔE_f: 76 meV/atom
Total moment: 0.00 μB/atom

Cell: 4.7021 4.7021 6.0220 Å, 66.91 66.91 59.99°
Fractional coordinates of all 4 atoms:
1 Ir 0.4367 0.4367 0.6901
2 Ir 0.0633 0.0633 0.8099
3 Pb 0.7500 0.7500 0.7500
4 Sr 0.2500 0.2500 0.2500

---

Entry from Alexandria via LeMat-Bulk: a relaxed structure of TbThHgAu (PBE-GGA).

Results
Space group: P4mm (99)
ΔE_f: -522 meV/atom
Total moment: 0.00 μB/atom
Energy above the most stable polymorph in this dataset: 0 meV per atom

Cell: 3.6612 3.6612 7.6840 Å, 90.00 90.00 90.00°
Fractional coordinates of all 4 atoms:
1 Hg 0.5000 0.5000 0.1231
2 Th 0.0000 0.0000 0.8474
3 Au 0.5000 0.5000 0.5865
4 Tb 0.0000 0.0000 0.3710